1.
Na2H2S, relaxed, DFT PBE; ΔE to the lowest computed polymorph = 0.125 eV per atom; DOS at the Fermi energy = 0.0 states/eV/cell; volume = 15.25 Å³ per atom; total DFT energy (no corrections) = -3.1780 eV per atom
1.0
6.4416 0.0000 0.0000
0.0000 6.4416 0.0000
0.0000 0.0000 3.6741
Na H S
4 4 2
Cartesian
1.5052 1.7156 0.0000
1.7156 4.9364 0.0000
4.7259 1.5052 0.0000
4.9364 4.7259 0.0000
0.2720 3.4928 1.8370
2.9488 0.2720 1.8370
3.4928 6.1696 1.8370
6.1696 2.9488 1.8370
0.0000 0.0000 1.8370
3.2208 3.2208 1.8370

=====

2.
ReSNO2, relaxed, DFT PBE; formation energy from raw total energies = 1.05 eV per atom; DOS at the Fermi energy = 2.5 states/eV/cell; volume = 16.06 Å³ per atom; total DFT energy (no corrections) = -5.9184 eV per atom
1.0
3.1753 0.0000 0.0000
0.0000 3.1753 0.0000
0.0000 0.0000 7.9641
Re S N O
1 1 1 2
Cartesian
0.0000 0.0000 0.0000
1.5876 1.5876 3.9820
1.5876 1.5876 0.0000
0.0000 1.5876 3.9820
1.5876 0.0000 3.9820

=====

3.
Ce6Cd2CoH, relaxed, DFT PBE; DOS at the Fermi energy = 23.7 states/eV/cell; volume = 24.56 Å³ per atom; total DFT energy (no corrections) = -4.8893 eV per atom
1.0
6.8640 0.0000 0.0000
3.4246 6.1390 0.0000
3.4286 1.9268 5.8282
Ce Cd Co H
6 2 1 1
Cartesian
3.1322 2.0050 1.4516
6.5688 6.0471 4.3823
5.1417 2.9442 4.3313
8.5755 5.1216 1.4968
7.1484 2.0187 1.4458
10.5850 6.0608 4.3766
5.1394 4.9535 1.3631
8.5778 3.1123 4.4651
5.1463 0.9634 2.9141
1.7123 3.0695 0.0000